# CdBS2 | Alexandria | GGA-PBE | relaxed
# Mass density, g cm⁻³: 4.5
# Total energy, eV/atom: -3.7283
# Energy above the lowest structure with this stoichiometry, meV/atom: 477
# Formation energy without anion corrections, eV/atom: 0.23
data_CdBS2
_chemical_formula_sum 'Cd3 B3 S6'
_space_group_name_H-M_alt 'R -3 m'
_space_group_IT_number 166
_space_group_name_Hall '-R 3 2"'
_cell_length_a 2.9802
_cell_length_b 2.9802
_cell_length_c 26.7041
_cell_angle_alpha 90.00
_cell_angle_beta 90.00
_cell_angle_gamma 120.00
loop_
_atom_site_label
_atom_site_type_symbol
_atom_site_fract_x
_atom_site_fract_y
_atom_site_fract_z
Cd1 Cd 0.0000 0.0000 0.0000
B1 B 0.0000 0.0000 0.5000
S1 S 0.0000 0.0000 0.1206

***

# CdBS2 | Alexandria | GGA-PBE | relaxed
# Mass density, g cm⁻³: 3.0
# Total energy, eV/atom: -4.0367
# Energy above the lowest structure with this stoichiometry, meV/atom: 169
# Formation energy without anion corrections, eV/atom: -0.07
data_CdBS2
_chemical_formula_sum 'Cd3 B3 S6'
_space_group_name_H-M_alt 'R -3 m'
_space_group_IT_number 166
_space_group_name_Hall '-R 3 2"'
_cell_length_a 4.3517
_cell_length_b 4.3517
_cell_length_c 18.7636
_cell_angle_alpha 90.00
_cell_angle_beta 90.00
_cell_angle_gamma 120.00
loop_
_atom_site_label
_atom_site_type_symbol
_atom_site_fract_x
_atom_site_fract_y
_atom_site_fract_z
Cd1 Cd 0.0000 0.0000 0.0000
B1 B 0.0000 0.0000 0.5000
S1 S 0.0000 0.0000 0.4101

***

# CdSiB2S | Alexandria | GGA-PBE | relaxed
# Mass density, g cm⁻³: 4.4
# Total energy, eV/atom: -3.3883
# Formation energy without anion corrections, eV/atom: 1.38
data_CdSiB2S
_chemical_formula_sum 'Cd1 Si1 B2 S1'
_space_group_name_H-M_alt 'P 4/m m m'
_space_group_IT_number 123
_space_group_name_Hall '-P 4 2'
_cell_length_a 3.930
_cell_length_b 3.930
_cell_length_c 4.792
_cell_angle_alpha 90.00
_cell_angle_beta 90.00
_cell_angle_gamma 90.00
loop_
_atom_site_label
_atom_site_type_symbol
_atom_site_fract_x
_atom_site_fract_y
_atom_site_fract_z
Cd1 Cd 0.000 0.000 0.000
Si1 Si 0.500 0.500 0.000
B1 B 0.000 0.500 0.500
S1 S 0.500 0.500 0.500

***

# TiCdB2S | Alexandria | GGA-PBE | relaxed
# Mass density, g cm⁻³: 3.7
# Total energy, eV/atom: -3.7390
# Formation energy without anion corrections, eV/atom: 1.52
data_TiCdB2S
_chemical_formula_sum 'Ti1 Cd1 B2 S1'
_space_group_name_H-M_alt 'P 4/m m m'
_space_group_IT_number 123
_space_group_name_Hall '-P 4 2'
_cell_length_a 3.993
_cell_length_b 3.993
_cell_length_c 5.956
_cell_angle_alpha 90.00
_cell_angle_beta 90.00
_cell_angle_gamma 90.00
loop_
_atom_site_label
_atom_site_type_symbol
_atom_site_fract_x
_atom_site_fract_y
_atom_site_fract_z
Ti1 Ti 0.000 0.000 0.000
Cd1 Cd 0.000 0.000 0.500
B1 B 0.000 0.500 0.500
S1 S 0.500 0.500 0.000

***

# Zn2CdBS | Alexandria | GGA-PBE | relaxed
# Mass density, g cm⁻³: 5.1
# Total energy, eV/atom: -2.0666
# Formation energy without anion corrections, eV/atom: 0.79
data_Zn2CdBS
_chemical_formula_sum 'Zn2 Cd1 B1 S1'
_space_group_name_H-M_alt 'P 4/m m m'
_space_group_IT_number 123
_space_group_name_Hall '-P 4 2'
_cell_length_a 5.007
_cell_length_b 5.007
_cell_length_c 3.741
_cell_angle_alpha 90.00
_cell_angle_beta 90.00
_cell_angle_gamma 90.00
loop_
_atom_site_label
_atom_site_type_symbol
_atom_site_fract_x
_atom_site_fract_y
_atom_site_fract_z
Zn1 Zn 0.000 0.500 0.000
Cd1 Cd 0.000 0.000 0.500
B1 B 0.500 0.500 0.500
S1 S 0.500 0.500 0.000

***

# ZrCd2BS | Alexandria | GGA-PBE | relaxed
# Mass density, g cm⁻³: 5.9
# Total energy, eV/atom: -3.6724
# Formation energy without anion corrections, eV/atom: 0.56
data_ZrCd2BS
_chemical_formula_sum 'Zr1 Cd2 B1 S1'
_space_group_name_H-M_alt 'P 4/m m m'
_space_group_IT_number 123
_space_group_name_Hall '-P 4 2'
_cell_length_a 4.194
_cell_length_b 4.194
_cell_length_c 5.750
_cell_angle_alpha 90.00
_cell_angle_beta 90.00
_cell_angle_gamma 90.00
loop_
_atom_site_label
_atom_site_type_symbol
_atom_site_fract_x
_atom_site_fract_y
_atom_site_fract_z
Zr1 Zr 0.000 0.000 0.000
Cd1 Cd 0.000 0.500 0.500
B1 B 0.500 0.500 0.500
S1 S 0.500 0.500 0.000

***

# ScCdBSb2 | Alexandria | GGA-PBE | relaxed
# Mass density, g cm⁻³: 5.3
# Total energy, eV/atom: -3.6016
# Formation energy without anion corrections, eV/atom: 0.83
data_ScCdBSb2
_chemical_formula_sum 'Sc1 Cd1 B1 Sb2'
_space_group_name_H-M_alt 'P 4/m m m'
_space_group_IT_number 123
_space_group_name_Hall '-P 4 2'
_cell_length_a 5.638
_cell_length_b 5.638
_cell_length_c 4.094
_cell_angle_alpha 90.00
_cell_angle_beta 90.00
_cell_angle_gamma 90.00
loop_
_atom_site_label
_atom_site_type_symbol
_atom_site_fract_x
_atom_site_fract_y
_atom_site_fract_z
Sc1 Sc 0.000 0.000 0.000
Cd1 Cd 0.500 0.500 0.500
B1 B 0.500 0.500 0.000
Sb1 Sb 0.000 0.500 0.500

***

# Cd2SiBSb | Alexandria | GGA-PBE | relaxed
# Mass density, g cm⁻³: 5.7
# Total energy, eV/atom: -2.9468
# Formation energy without anion corrections, eV/atom: 0.66
data_Cd2SiBSb
_chemical_formula_sum 'Cd2 Si1 B1 Sb1'
_space_group_name_H-M_alt 'P 4/m m m'
_space_group_IT_number 123
_space_group_name_Hall '-P 4 2'
_cell_length_a 5.524
_cell_length_b 5.524
_cell_length_c 3.651
_cell_angle_alpha 90.00
_cell_angle_beta 90.00
_cell_angle_gamma 90.00
loop_
_atom_site_label
_atom_site_type_symbol
_atom_site_fract_x
_atom_site_fract_y
_atom_site_fract_z
Cd1 Cd 0.000 0.500 0.000
Si1 Si 0.000 0.000 0.000
B1 B 0.000 0.000 0.500
Sb1 Sb 0.500 0.500 0.500

***

# Ta2CdBSb | Alexandria | GGA-PBE | relaxed
# Mass density, g cm⁻³: 8.8
# Total energy, eV/atom: -5.1227
# Formation energy without anion corrections, eV/atom: 1.96
data_Ta2CdBSb
_chemical_formula_sum 'Ta2 Cd1 B1 Sb1'
_space_group_name_H-M_alt 'P 4/m m m'
_space_group_IT_number 123
_space_group_name_Hall '-P 4 2'
_cell_length_a 5.180
_cell_length_b 5.180
_cell_length_c 4.292
_cell_angle_alpha 90.00
_cell_angle_beta 90.00
_cell_angle_gamma 90.00
loop_
_atom_site_label
_atom_site_type_symbol
_atom_site_fract_x
_atom_site_fract_y
_atom_site_fract_z
Ta1 Ta 0.000 0.500 0.000
Cd1 Cd 0.000 0.000 0.500
B1 B 0.500 0.500 0.500
Sb1 Sb 0.500 0.500 0.000

***

# Cd2TcBSb | Alexandria | GGA-PBE | relaxed
# Mass density, g cm⁻³: 8.1
# Total energy, eV/atom: -4.0378
# Formation energy without anion corrections, eV/atom: 0.56
data_Cd2TcBSb
_chemical_formula_sum 'Cd2 Tc1 B1 Sb1'
_space_group_name_H-M_alt 'P 4/m m m'
_space_group_IT_number 123
_space_group_name_Hall '-P 4 2'
_cell_length_a 4.708
_cell_length_b 4.708
_cell_length_c 4.203
_cell_angle_alpha 90.00
_cell_angle_beta 90.00
_cell_angle_gamma 90.00
loop_
_atom_site_label
_atom_site_type_symbol
_atom_site_fract_x
_atom_site_fract_y
_atom_site_fract_z
Cd1 Cd 0.000 0.500 0.000
Tc1 Tc 0.000 0.000 0.500
B1 B 0.000 0.000 0.000
Sb1 Sb 0.500 0.500 0.500

***

# YCd2BSb | Alexandria | GGA-PBE | relaxed
# Mass density, g cm⁻³: 4.4
# Total energy, eV/atom: -2.6393
# Formation energy without anion corrections, eV/atom: 1.18
data_YCd2BSb
_chemical_formula_sum 'Y1 Cd2 B1 Sb1'
_space_group_name_H-M_alt 'P 4/m m m'
_space_group_IT_number 123
_space_group_name_Hall '-P 4 2'
_cell_length_a 5.389
_cell_length_b 5.389
_cell_length_c 5.767
_cell_angle_alpha 90.00
_cell_angle_beta 90.00
_cell_angle_gamma 90.00
loop_
_atom_site_label
_atom_site_type_symbol
_atom_site_fract_x
_atom_site_fract_y
_atom_site_fract_z
Y1 Y 0.000 0.000 0.000
Cd1 Cd 0.000 0.500 0.500
B1 B 0.500 0.500 0.000
Sb1 Sb 0.000 0.000 0.500

***

# Sc2CdB | Alexandria | GGA-PBE | relaxed
# Mass density, g cm⁻³: 5.0
# Formation energy, eV per atom: 0.135
# Total energy, eV/atom: -4.9293
# Energy above the lowest structure with this stoichiometry, meV/atom: 134
data_Sc2CdB
_chemical_formula_sum 'Sc8 Cd4 B4'
_space_group_name_H-M_alt 'F m -3 m'
_space_group_IT_number 225
_space_group_name_Hall '-F 4 2 3'
_cell_length_a 6.565
_cell_length_b 6.565
_cell_length_c 6.565
_cell_angle_alpha 90.00
_cell_angle_beta 90.00
_cell_angle_gamma 90.00
loop_
_atom_site_label
_atom_site_type_symbol
_atom_site_fract_x
_atom_site_fract_y
_atom_site_fract_z
Sc1 Sc 0.250 0.250 0.250
Cd1 Cd 0.000 0.000 0.000
B1 B 0.000 0.000 0.500

***

# Sc2CdB | Alexandria | GGA-PBE | relaxed
# Mass density, g cm⁻³: 3.7
# Formation energy, eV per atom: 0.001
# Total energy, eV/atom: -5.0634
# Energy above the lowest structure with this stoichiometry, meV/atom: 0
data_Sc2CdB
_chemical_formula_sum 'Sc6 Cd3 B3'
_space_group_name_H-M_alt 'R -3 m'
_space_group_IT_number 166
_space_group_name_Hall '-R 3 2"'
_cell_length_a 3.5347
_cell_length_b 3.5347
_cell_length_c 26.1679
_cell_angle_alpha 90.00
_cell_angle_beta 90.00
_cell_angle_gamma 120.00
loop_
_atom_site_label
_atom_site_type_symbol
_atom_site_fract_x
_atom_site_fract_y
_atom_site_fract_z
Sc1 Sc 0.0000 0.0000 0.1209
Cd1 Cd 0.0000 0.0000 0.0000
B1 B 0.0000 0.0000 0.5000

***

# ScCd2B | Alexandria | GGA-PBE | relaxed
# Mass density, g cm⁻³: 6.0
# Formation energy, eV per atom: 0.520
# Total energy, eV/atom: -3.1901
data_ScCd2B
_chemical_formula_sum 'Sc4 Cd8 B4'
_space_group_name_H-M_alt 'I -4 2 d'
_space_group_IT_number 122
_space_group_name_Hall 'I -4 2bw'
_cell_length_a 3.837
_cell_length_b 3.837
_cell_length_c 20.981
_cell_angle_alpha 90.00
_cell_angle_beta 90.00
_cell_angle_gamma 90.00
loop_
_atom_site_label
_atom_site_type_symbol
_atom_site_fract_x
_atom_site_fract_y
_atom_site_fract_z
Sc1 Sc 0.000 0.000 0.000
Cd1 Cd 0.242 0.250 0.625
B1 B 0.000 0.000 0.500

***

# Sc2CdB | Alexandria | GGA-PBE | relaxed
# Mass density, g cm⁻³: 4.4
# Formation energy, eV per atom: 0.140
# Total energy, eV/atom: -4.9242
# Energy above the lowest structure with this stoichiometry, meV/atom: 139
data_Sc2CdB
_chemical_formula_sum 'Sc8 Cd4 B4'
_space_group_name_H-M_alt 'I -4 2 d'
_space_group_IT_number 122
_space_group_name_Hall 'I -4 2bw'
_cell_length_a 7.129
_cell_length_b 7.129
_cell_length_c 6.274
_cell_angle_alpha 90.00
_cell_angle_beta 90.00
_cell_angle_gamma 90.00
loop_
_atom_site_label
_atom_site_type_symbol
_atom_site_fract_x
_atom_site_fract_y
_atom_site_fract_z
Sc1 Sc 0.177 0.750 0.125
Cd1 Cd 0.000 0.000 0.500
B1 B 0.000 0.000 0.000

***

# Sc3CdB | Alexandria | GGA-PBE | relaxed
# Mass density, g cm⁻³: 3.1
# Formation energy, eV per atom: 1.348
# Total energy, eV/atom: -3.9692
# Energy above the lowest structure with this stoichiometry, meV/atom: 1572
data_Sc3CdB
_chemical_formula_sum 'Sc3 Cd1 B1'
_space_group_name_H-M_alt 'P m -3 m'
_space_group_IT_number 221
_space_group_name_Hall '-P 4 2 3'
_cell_length_a 5.191
_cell_length_b 5.191
_cell_length_c 5.191
_cell_angle_alpha 90.00
_cell_angle_beta 90.00
_cell_angle_gamma 90.00
loop_
_atom_site_label
_atom_site_type_symbol
_atom_site_fract_x
_atom_site_fract_y
_atom_site_fract_z
Sc1 Sc 0.000 0.000 0.500
Cd1 Cd 0.000 0.000 0.000
B1 B 0.500 0.500 0.500

***

# Sc2CdB2 | Alexandria | GGA-PBE | relaxed
# Mass density, g cm⁻³: 5.1
# Formation energy, eV per atom: -0.344
# Total energy, eV/atom: -5.7302
data_Sc2CdB2
_chemical_formula_sum 'Sc4 Cd2 B4'
_space_group_name_H-M_alt 'P 4/m b m'
_space_group_IT_number 127
_space_group_name_Hall '-P 4 2ab'
_cell_length_a 6.463
_cell_length_b 6.463
_cell_length_c 3.519
_cell_angle_alpha 90.00
_cell_angle_beta 90.00
_cell_angle_gamma 90.00
loop_
_atom_site_label
_atom_site_type_symbol
_atom_site_fract_x
_atom_site_fract_y
_atom_site_fract_z
Sc1 Sc 0.176 0.324 0.000
Cd1 Cd 0.000 0.000 0.500
B1 B 0.091 0.591 0.500

***

# Sc2CdB | Alexandria | GGA-PBE | relaxed
# Mass density, g cm⁻³: 4.0
# Formation energy, eV per atom: 0.806
# Total energy, eV/atom: -4.2579
# Energy above the lowest structure with this stoichiometry, meV/atom: 806
data_Sc2CdB
_chemical_formula_sum 'Sc6 Cd3 B3'
_space_group_name_H-M_alt 'R -3 m'
_space_group_IT_number 166
_space_group_name_Hall '-R 3 2"'
_cell_length_a 3.2426
_cell_length_b 3.2426
_cell_length_c 29.0966
_cell_angle_alpha 90.00
_cell_angle_beta 90.00
_cell_angle_gamma 120.00
loop_
_atom_site_label
_atom_site_type_symbol
_atom_site_fract_x
_atom_site_fract_y
_atom_site_fract_z
Sc1 Sc 0.0000 0.0000 0.0811
Cd1 Cd 0.0000 0.0000 0.5000
B1 B 0.0000 0.0000 0.0000

***

# Sc3CdB | Alexandria | GGA-PBE | relaxed
# Mass density, g cm⁻³: 4.1
# Formation energy, eV per atom: -0.224
# Total energy, eV/atom: -5.5411
# Energy above the lowest structure with this stoichiometry, meV/atom: 0
data_Sc3CdB
_chemical_formula_sum 'Sc3 Cd1 B1'
_space_group_name_H-M_alt 'P m -3 m'
_space_group_IT_number 221
_space_group_name_Hall '-P 4 2 3'
_cell_length_a 4.705
_cell_length_b 4.705
_cell_length_c 4.705
_cell_angle_alpha 90.00
_cell_angle_beta 90.00
_cell_angle_gamma 90.00
loop_
_atom_site_label
_atom_site_type_symbol
_atom_site_fract_x
_atom_site_fract_y
_atom_site_fract_z
Sc1 Sc 0.000 0.000 0.500
Cd1 Cd 0.500 0.500 0.500
B1 B 0.000 0.000 0.000

***

# YSc2CdB | Alexandria | GGA-PBE | relaxed
# Mass density, g cm⁻³: 3.8
# Formation energy, eV per atom: 1.264
# Total energy, eV/atom: -4.0797
# Energy above the lowest structure with this stoichiometry, meV/atom: 1454
data_YSc2CdB
_chemical_formula_sum 'Y1 Sc2 Cd1 B1'
_space_group_name_H-M_alt 'P 4/m m m'
_space_group_IT_number 123
_space_group_name_Hall '-P 4 2'
_cell_length_a 5.433
_cell_length_b 5.433
_cell_length_c 4.465
_cell_angle_alpha 90.00
_cell_angle_beta 90.00
_cell_angle_gamma 90.00
loop_
_atom_site_label
_atom_site_type_symbol
_atom_site_fract_x
_atom_site_fract_y
_atom_site_fract_z
Y1 Y 0.000 0.000 0.000
Sc1 Sc 0.000 0.500 0.000
Cd1 Cd 0.500 0.500 0.500
B1 B 0.000 0.000 0.500

***

no.,M_tot (μB/f.u.)
1,0.00
2,0.00
3,0.00
4,1.25
5,0.00
6,0.00
7,0.00
8,0.00
9,0.00
10,0.40
11,0.00
12,0.00
13,0.00
14,0.00
15,0.00
16,0.00
17,0.00
18,0.00
19,0.96
20,0.00